! BaAl2Te4 PBE optimized geometry; values from VASP
&SYSTEM
  ibrav = 0, nat = 7, ntyp = 3
/
ATOMIC_SPECIES
Te 127.60 Te.upf
Al 26.98 Al.upf
Ba 137.33 Ba.upf
CELL_PARAMETERS angstrom
-1.773 -1.788 6.575
0.895 -4.579 -5.273
6.467 2.656 0.831
ATOMIC_POSITIONS crystal
Te 0.859 0.310 0.169
Te 0.141 0.690 0.831
Te 0.310 0.141 0.451
Te 0.690 0.859 0.549
Al 0.750 0.250 0.500
Al 0.250 0.750 0.500
Ba 0.500 0.500 0.000
! Magnetic moment: 0.00 μB/f.u.
! Energy above the most stable polymorph in this dataset: 67 meV/atom
! Density of states at the Fermi level: 0.00 states/eV/cell
! Mass density: 4.58 g/cm3
! Symmetry: I4/m, No. 87
! Energy relative to the elements, uncorrected: -0.83 eV per atom